Material: CoHS2
Method: DFT, SCAN
State: single point on PBEsol structure

Cell: 4.7329 4.7329 9.1290 Å, 90.00 90.00 90.00°
Space group I-42d (No. 122)
Unique sites:
1 Co 0.0000 0.0000 0.0000 [4 per cell]
2 H 0.0000 0.0000 0.5000 [4 per cell]
3 S 0.2317 0.2500 0.6250 [8 per cell]

Summary:
Uncorrected energy, eV/atom: -9.84
Distance to the lowest polymorph of the same formula, kJ/mol of formula units: 200
DOS(E_F), states/eV/atom: 0.589